(1)
Below is crystalline Ba3La at its relaxed geometry, with properties calculated at the GGA-PBE level.

Geometry as POSCAR:
```
Ba3La
1.0
8.545 0.000 0.000
-4.272 7.400 0.000
0.000 0.000 6.817
Ba La
6 2
Cartesian
0.000 2.541 1.704
-2.072 6.129 1.704
2.200 1.270 5.113
2.072 6.129 1.704
6.344 1.270 5.113
4.272 4.859 5.113
0.000 4.933 5.113
4.272 2.467 1.704
```

Computed properties:
ΔE to the lowest computed polymorph = 47 meV per atom
Volume = 53.9 Å³/atom
ΔH_f (0 K) = 16.3 kJ/mol of atoms

=====

(2)
Below is crystalline BaLa2 at its relaxed geometry, with properties calculated at the GGA-PBE level.

Geometry as POSCAR:
```
BaLa2
1.0
3.847 0.000 0.000
0.000 5.377 0.000
0.000 0.000 12.332
Ba La
2 4
Cartesian
0.000 0.000 0.000
1.923 2.689 6.166
0.000 0.000 3.873
0.000 0.000 8.459
1.923 2.689 2.293
1.923 2.689 10.039
```

Computed properties:
ΔE to the lowest computed polymorph = 63 meV per atom
Volume = 42.5 Å³/atom
ΔH_f (0 K) = 15.5 kJ/mol of atoms

=====

(3)
Below is crystalline BaLa2 at its relaxed geometry, with properties calculated at the GGA-PBE level.

Geometry as POSCAR:
```
BaLa2
1.0
3.662 0.000 0.000
0.000 10.546 0.000
0.000 0.000 6.609
Ba La
2 4
Cartesian
0.000 0.000 0.000
1.831 5.273 3.305
0.810 3.681 0.000
1.020 8.954 3.305
2.641 1.592 3.305
2.851 6.865 0.000
```

Computed properties:
ΔE to the lowest computed polymorph = 136 meV per atom
Volume = 42.5 Å³/atom
ΔH_f (0 K) = 22.5 kJ/mol of atoms

=====

(4)
Below is crystalline BaLa5 at its relaxed geometry, with properties calculated at the GGA-PBE level.

Geometry as POSCAR:
```
BaLa5
1.0
7.010 0.000 0.000
-3.505 6.071 0.000
0.000 0.000 5.988
Ba La
1 5
Cartesian
0.000 0.000 0.000
-1.753 3.035 2.994
0.000 4.047 0.000
3.505 0.000 2.994
1.753 3.035 2.994
3.505 2.024 0.000
```

Computed properties:
ΔE to the lowest computed polymorph = 170 meV per atom
Volume = 42.5 Å³/atom
ΔH_f (0 K) = 21.9 kJ/mol of atoms

=====

(5)
Below is crystalline Ba3La at its relaxed geometry, with properties calculated at the GGA-PBE level.

Geometry as POSCAR:
```
Ba3La
1.0
5.980 0.000 0.000
0.000 5.980 0.000
0.000 0.000 11.940
Ba La
6 2
Cartesian
0.000 0.000 0.000
0.000 2.990 2.985
0.000 2.990 8.955
2.990 0.000 2.985
2.990 0.000 8.955
2.990 2.990 5.970
0.000 0.000 5.970
2.990 2.990 0.000
```

Computed properties:
ΔE to the lowest computed polymorph = 55 meV per atom
Volume = 53.4 Å³/atom
ΔH_f (0 K) = 17.1 kJ/mol of atoms

=====

(6)
Below is crystalline Ba2La at its relaxed geometry, with properties calculated at the GGA-PBE level.

Geometry as POSCAR:
```
Ba2La
1.0
4.141 0.000 0.000
-2.070 3.586 0.000
0.000 0.000 10.284
Ba La
2 1
Cartesian
0.000 2.391 3.259
2.070 1.195 7.025
0.000 0.000 0.000
```

Computed properties:
ΔE to the lowest computed polymorph = 22 meV per atom
Volume = 50.9 Å³/atom
ΔH_f (0 K) = 14.7 kJ/mol of atoms

=====

Repeat the third record exactly.
Below is crystalline BaLa2 at its relaxed geometry, with properties calculated at the GGA-PBE level.

Geometry as POSCAR:
```
BaLa2
1.0
3.662 0.000 0.000
0.000 10.546 0.000
0.000 0.000 6.609
Ba La
2 4
Cartesian
0.000 0.000 0.000
1.831 5.273 3.305
0.810 3.681 0.000
1.020 8.954 3.305
2.641 1.592 3.305
2.851 6.865 0.000
```

Computed properties:
ΔE to the lowest computed polymorph = 136 meV per atom
Volume = 42.5 Å³/atom
ΔH_f (0 K) = 22.5 kJ/mol of atoms

=====

Q: Among the records above, which one has the highest ΔH_f (0 K)?
A: number 3